Entry 1:
The following is a DFT calculation (PBE-GGA) of a geometry-optimized Te2MoAs structure.

Results
**Raw formation energy**: 0.257 eV per atom
**DOS at the Fermi energy**: 0.892 states/eV per atom

Geometry as POSCAR:
```
Te2MoAs
1.0
1.7311 0.9995 9.5159
-1.7311 0.9995 9.5159
0.0000 -1.9989 9.5159
Te Mo As
2 1 1
Direct
0.1009 0.1009 0.1009
0.8991 0.8991 0.8991
0.5000 0.5000 0.5000
0.0000 0.0000 0.0000
```

***

Entry 2:
The following is a DFT calculation (PBE-GGA) of a geometry-optimized Sc2TaRe structure.

Results
**Calculated formation energy**: 0.181 eV per atom
**DOS at the Fermi energy**: 1.104 states/eV per atom

Geometry as POSCAR:
```
Sc2TaRe
1.0
4.4028 -1.5531 0.0000
4.4028 1.5531 0.0000
-0.5938 0.0000 5.7026
Sc Ta Re
2 1 1
Direct
0.0000 0.0000 0.0000
0.2305 0.2305 0.7099
0.4741 0.4741 0.4388
0.7399 0.7399 0.2494
```

***

Entry 3:
The following is a DFT calculation (PBE-GGA) of a geometry-optimized Ni2AgGe structure.

Results
**Calculated formation energy**: 0.177 eV per atom
**DOS at the Fermi energy**: 0.409 states/eV per atom

Geometry as POSCAR:
```
Ni2AgGe
1.0
-3.3550 3.3550 2.6161
3.3550 -3.3550 2.6161
3.3550 3.3550 -2.6161
Ni Ag Ge
4 2 2
Direct
0.0883 0.6250 0.9633
0.3750 0.3383 0.4633
0.6617 0.1250 0.0367
0.8750 0.9117 0.5367
0.2500 0.7500 0.5000
0.5000 0.5000 0.0000
0.0000 0.0000 0.0000
0.7500 0.2500 0.5000
```

***

Entry 4:
The following is a DFT calculation (PBE-GGA) of a geometry-optimized Pr2Np3Se8 structure.

Results
**Raw formation energy**: -1.339 eV per atom
**DOS at the Fermi energy**: 1.865 states/eV per atom

Geometry as POSCAR:
```
Pr2Np3Se8
1.0
4.9745 -7.1536 0.0000
4.9745 7.1536 0.0000
0.0000 0.0000 4.9924
Pr Np Se
2 3 8
Direct
0.2305 0.7695 0.0000
0.7695 0.2305 0.0000
0.2348 0.2348 0.5000
0.5000 0.5000 0.0000
0.7652 0.7652 0.5000
0.1215 0.8785 0.5000
0.1438 0.3833 0.0000
0.3833 0.1438 0.0000
0.3864 0.6136 0.5000
0.6136 0.3864 0.5000
0.6167 0.8562 0.0000
0.8562 0.6167 0.0000
0.8785 0.1215 0.5000
```

***

Entry 5:
The following is a DFT calculation (PBE-GGA) of a geometry-optimized MnAsCl2 structure.

Results
**Raw formation energy**: 0.153 eV per atom
**DOS at the Fermi energy**: 0.350 states/eV per atom

Geometry as POSCAR:
```
MnAsCl2
1.0
-1.8834 1.8834 6.0017
1.8834 -1.8834 6.0017
1.8834 1.8834 -6.0017
Mn As Cl
1 1 2
Direct
0.0000 0.0000 0.0000
0.2500 0.7500 0.5000
0.5000 0.5000 0.0000
0.7500 0.2500 0.5000
```

***

Entry 6:
The following is a DFT calculation (PBE-GGA) of a geometry-optimized Pr2Ga4CuRh3 structure.

Results
**Calculated formation energy**: -0.678 eV per atom
**DOS at the Fermi energy**: 0.665 states/eV per atom

Geometry as POSCAR:
```
Pr2Ga4CuRh3
1.0
4.3011 0.0000 0.0000
0.0000 4.3011 0.0000
0.0000 0.0000 10.2285
Pr Ga Cu Rh
2 4 1 3
Direct
0.0000 0.5000 0.2453
0.5000 0.0000 0.7547
0.0000 0.0000 0.5000
0.0000 0.5000 0.8736
0.5000 0.0000 0.1264
0.5000 0.5000 0.5000
0.5000 0.5000 0.0000
0.0000 0.0000 0.0000
0.0000 0.5000 0.6292
0.5000 0.0000 0.3708
```

***

Number 1: electronic total energy -20.73 eV/cell, total magnetic moment 0.00 Bohr magnetons per cell. Number 2: electronic total energy -36.24 eV/cell, total magnetic moment 0.00 Bohr magnetons per cell. Number 3: electronic total energy -36.65 eV/cell, total magnetic moment 0.00 Bohr magnetons per cell. Number 4: electronic total energy -93.66 eV/cell, total magnetic moment 11.00 Bohr magnetons per cell. Number 5: electronic total energy -16.90 eV/cell, total magnetic moment 4.84 Bohr magnetons per cell. Number 6: electronic total energy -54.59 eV/cell, total magnetic moment 0.00 Bohr magnetons per cell.